The following is a GGA-PBE calculation of a geometry-optimized KRhAu2 structure, from Alexandria via LeMat-Bulk.

Values from the calculation:
Formation enthalpy at 0 K (eV/atom): 0.23
SG: P4/mmm

a = 5.288 Å, b = 5.288 Å, c = 2.824 Å
α = 90.00°, β = 90.00°, γ = 90.00°
Sites, in units of the cell vectors:
Rh1 0.000 0.500 0.500
K1 0.500 0.000 0.500
Au1 0.000 0.000 0.000
Au2 0.500 0.500 0.000

***

The following is a GGA-PBE calculation of a geometry-optimized KRhAu2 structure, from Alexandria via LeMat-Bulk.

Values from the calculation:
Formation enthalpy at 0 K (eV/atom): 0.32
SG: I4_1/amd

a = 5.327 Å, b = 5.327 Å, c = 9.661 Å
α = 74.00°, β = 74.00°, γ = 90.00°
Sites, in units of the cell vectors:
Au1 0.875 0.125 0.750
Rh1 0.000 0.000 0.000
Au2 0.375 0.125 0.750
Au3 0.875 0.125 0.250
Rh2 0.750 0.250 0.500
K1 0.250 0.750 0.500
K2 0.500 0.500 0.000
Au4 0.875 0.625 0.250

***

Going through the records in order, we get mass density values of 11.27, 7.05 g/cm3.
Going through the records in order, we get spin magnetization values of 0.7, 1.3 Bohr magnetons per cell.
Going through the records in order, we get polymorph energy (0 for the lowest one) values of 111, 194 meV/atom.